Entry 1:
## ReOs2Se (GGA-PBEsol)

Data for crystalline ReOs2Se at its relaxed geometry.

## Properties
spin magnetization	0.0	μB per formula unit
SG	Cmm2, No. 35
VASP energy	-9.569	eV per atom

a = 2.730 Å, b = 2.730 Å, c = 9.414 Å
α = 90.00°, β = 90.00°, γ = 119.42°
Fractional coordinates of all 4 atoms:
1 Os 0.500 0.500 0.750
2 Os 0.000 0.000 0.990
3 Se 0.500 0.500 0.244
4 Re 0.000 0.000 0.516

=====

Entry 2:
## CsIn5S8 (GGA-PBEsol)

Data for crystalline CsIn5S8 at its relaxed geometry.

## Properties
spin magnetization	0.0	μB per formula unit
SG	C2/m, No. 12
VASP energy	-4.349	eV per atom

a = 3.855 Å, b = 9.223 Å, c = 9.697 Å
α = 101.63°, β = 101.47°, γ = 90.00°
Fractional coordinates of all 14 atoms:
1 S 0.233 0.150 0.467
2 S 0.834 0.513 0.668
3 S 0.166 0.487 0.332
4 S 0.767 0.850 0.533
5 S 0.922 0.199 0.843
6 S 0.078 0.801 0.157
7 S 0.419 0.860 0.838
8 S 0.581 0.140 0.162
9 In 0.000 0.000 0.000
10 In 0.291 0.659 0.582
11 In 0.651 0.932 0.302
12 In 0.349 0.068 0.698
13 In 0.709 0.341 0.418
14 Cs 0.500 0.500 0.000

=====

Entry 3:
## TaAl2Pt (GGA-PBEsol)

Data for crystalline TaAl2Pt at its relaxed geometry.

## Properties
spin magnetization	0.0	μB per formula unit
SG	C2/m, No. 12
VASP energy	-7.308	eV per atom

a = 2.772 Å, b = 5.186 Å, c = 5.186 Å
α = 114.64°, β = 102.18°, γ = 102.18°
Fractional coordinates of all 4 atoms:
1 Ta 0.500 0.500 0.500
2 Pt 0.500 0.000 0.000
3 Al 0.000 0.000 0.500
4 Al 0.000 0.500 0.000

=====

Entry 4:
## CuTeNF2 (GGA-PBEsol)

Data for crystalline CuTeNF2 at its relaxed geometry.

## Properties
spin magnetization	0.0	μB per formula unit
SG	P4/mmm, No. 123
VASP energy	-4.215	eV per atom

a = 3.558 Å, b = 3.558 Å, c = 5.558 Å
α = 90.00°, β = 90.00°, γ = 90.00°
Fractional coordinates of all 5 atoms:
1 Cu 0.000 0.000 0.000
2 F 0.000 0.500 0.000
3 F 0.500 0.000 0.000
4 N 0.000 0.000 0.500
5 Te 0.500 0.500 0.500

=====

VASP energy of number 3 (TaAl2Pt)? -7.308 eV per atom